# CsSc2N

A PBEsol-optimized structure of CsSc2N (meta-GGA SCAN, Alexandria).

Volume (A^3/atom): 28.24
Formation energy (no corrections) (eV per atom): -0.37
Crystal system: cubic
DOS(E_F) (states/eV per cell): 9.38
Size of the total moment (μB per atom): 0.0002

abc: 6.8359 6.8359 6.8359
angles: 60.00 60.00 60.00
Fractional coordinates of all 8 atoms:
Cs 0.7500 0.7500 0.7500
Cs 0.5000 0.5000 0.5000
Sc 0.1250 0.1250 0.6250
Sc 0.1250 0.1250 0.1250
Sc 0.6250 0.1250 0.1250
Sc 0.1250 0.6250 0.1250
N 0.2500 0.2500 0.2500
N 0.0000 0.0000 0.0000



# CsScSe2N

A PBEsol-optimized structure of CsScSe2N (meta-GGA SCAN, Alexandria).

Volume (A^3/atom): 25.97
Formation energy (no corrections) (eV per atom): 1.30
Crystal system: tetragonal
DOS(E_F) (states/eV per cell): 4.67
Size of the total moment (μB per atom): 0.0478

abc: 4.2366 5.5362 5.5362
angles: 90.00 90.00 90.00
Site moments in Bohr magnetons follow the coordinates.
Fractional coordinates of all 5 atoms:
Cs 0.0000 0.0000 0.0000  -0.01
Sc 0.5000 0.5000 0.5000  -0.50
Se 0.0000 0.0000 0.5000  0.01
Se 0.0000 0.5000 0.0000  0.01
N 0.5000 0.0000 0.0000  0.32



# CsScTeN2

A PBEsol-optimized structure of CsScTeN2 (meta-GGA SCAN, Alexandria).

Volume (A^3/atom): 23.95
Formation energy (no corrections) (eV per atom): 0.25
Crystal system: tetragonal
DOS(E_F) (states/eV per cell): 2.00
Size of the total moment (μB per atom): 0.7945

abc: 4.6306 4.6306 5.5846
angles: 90.00 90.00 90.00
Site moments in Bohr magnetons follow the coordinates.
Fractional coordinates of all 5 atoms:
Cs 0.5000 0.5000 0.5000  0.05
Sc 0.0000 0.0000 0.0000  -0.15
Te 0.0000 0.0000 0.5000  0.40
N 0.0000 0.5000 0.0000  1.14
N 0.5000 0.0000 0.0000  1.14